Th5Sb2N | PBE | relaxed

**Symmetry**: No. 69
**Magnetic moment**: 0.0 Bohr magnetons per cell
**E**: -116.74 eV for the cell shown
**E_form (uncorrected)**: -0.59 eV/atom

```
data_Th5Sb2N
_symmetry_space_group_name_H-M 'P 1'
_symmetry_Int_Tables_number 1
_symmetry_space_group_name_Hall 'P 1'
_cell_length_a 5.7442
_cell_length_b 5.7393
_cell_length_c 15.3845
_cell_angle_alpha 90.00
_cell_angle_beta 90.00
_cell_angle_gamma 120.03
loop_
_atom_site_label
_atom_site_type_symbol
_atom_site_fract_x
_atom_site_fract_y
_atom_site_fract_z
Th1 Th 0.2498 0.4996 0.7500
Th2 Th 0.4235 0.8470 0.3653
Th3 Th 0.7502 0.5004 0.2500
Th4 Th 0.9232 0.8463 0.6347
Th5 Th 0.5765 0.1530 0.6347
Th6 Th 0.0768 0.1537 0.1347
Th7 Th 0.9232 0.8463 0.8653
Th8 Th 0.5765 0.1530 0.8653
Th9 Th 0.0768 0.1537 0.3653
Th10 Th 0.4235 0.8470 0.1347
Sb1 Sb 0.2498 0.4996 0.9500
Sb2 Sb 0.7502 0.5004 0.0500
Sb3 Sb 0.7502 0.5004 0.4500
Sb4 Sb 0.2498 0.4996 0.5500
N1 N 0.7498 0.4996 0.7500
N2 N 0.2502 0.5004 0.2500
```